The following is a PBE calculation of a geometry-optimized ZnAs4Ru structure, from the Alexandria database.

extended XYZ file:
```
6
Lattice="0.000 3.844 3.844 3.844 0.000 3.844 3.844 3.844 0.000" Properties=species:S:1:pos:R:3 pbc="T T T"
Zn 0.000 0.000 0.000
As 2.880 4.807 4.807
As 4.807 4.807 2.880
As 4.807 2.880 4.807
As 2.880 2.880 2.880
Ru 5.766 5.766 5.766
```

Summary:
- Energy of formation from the pure elements: 71.98 kJ/mol of atoms